Compound: TlMoN2
Source: the Alexandria database
Functional: PBE
Structure: optimized geometry

As for the density: 9.15 g/cm³. For the energy above the most stable polymorph in this dataset, the calculation gives 188 meV per atom. For the energy relative to the elements, uncorrected, the calculation gives 150 meV/atom. Its crystal system is trigonal. The total energy comes out at -87.74 eV per cell.

a = 3.0700 Å, b = 3.0700 Å, c = 21.9029 Å
α = 90.00°, β = 90.00°, γ = 120.00°
Closest atoms and distances in Å follow each position.
Space group R-3m (No. 166, hexagonal axes)
Asymmetric unit:
Tl 0.0000 0.0000 0.0000  2 N 2.56
Mo 0.0000 0.0000 0.5000  6 N 2.08
N 0.0000 0.0000 0.1170  3 Mo 2.08